Compound: NdEr3Tm6Sc2
Source: the Alexandria database
Functional: PBE
Structure: optimized geometry

Values from the calculation:
Formation enthalpy at 0 K ... 39 meV/atom
Calculated total energy ... -4.790 eV/atom
Space group ... C2/m (12)
Crystal system ... monoclinic
Volume ... 29.5 A^3/atom

Unit cell a=6.0022 b=6.0022 c=11.5221 alpha=94.97 beta=94.97 gamma=119.95
With the nearest neighbours (Å) after each atom.
Atoms (fractional coordinates):
Nd1 0.0000 0.0000 0.0000  6 Tm 3.45-3.46, 6 Sc 3.46-3.47
Er1 0.1673 0.8327 0.5000  6 Er 3.46-3.48, 6 Tm 3.48-3.50
Er2 0.5000 0.5000 0.5000  6 Er 3.46-3.47, 6 Tm 3.49-3.50
Er3 0.8327 0.1673 0.5000  6 Er 3.46-3.48, 6 Tm 3.48-3.50
Tm1 0.0833 0.4190 0.2476  2 Sc 3.44-3.45, 6 Tm 3.45-3.49, 1 Nd 3.46, 3 Er 3.48-3.50
Tm2 0.2527 0.2527 0.7525  2 Sc 3.45, 6 Tm 3.45-3.49, 1 Nd 3.45, 3 Er 3.49-3.50
Tm3 0.4190 0.0833 0.2476  2 Sc 3.44-3.45, 6 Tm 3.45-3.49, 1 Nd 3.46, 3 Er 3.48-3.50
Tm4 0.5810 0.9166 0.7524  2 Sc 3.44-3.45, 6 Tm 3.45-3.49, 1 Nd 3.46, 3 Er 3.48-3.50
Tm5 0.7473 0.7473 0.2475  2 Sc 3.45, 6 Tm 3.45-3.49, 1 Nd 3.45, 3 Er 3.49-3.50
Tm6 0.9166 0.5810 0.7524  2 Sc 3.44-3.45, 6 Tm 3.45-3.49, 1 Nd 3.46, 3 Er 3.48-3.50
Sc1 0.3333 0.6667 0.0000  6 Tm 3.44-3.45, 3 Nd 3.46-3.47, 3 Sc 3.47
Sc2 0.6667 0.3333 0.0000  6 Tm 3.44-3.45, 3 Nd 3.46-3.47, 3 Sc 3.47


Compound: Nd2Er5TmSc
Source: the Alexandria database
Functional: PBE
Structure: optimized geometry

Values from the calculation:
Formation enthalpy at 0 K ... 277 meV/atom
Calculated total energy ... -4.518 eV/atom
Space group ... I4/mcm (140)
Crystal system ... tetragonal
Volume ... 31.0 A^3/atom

Unit cell a=9.8865 b=9.8865 c=9.8865 alpha=129.65 beta=129.65 gamma=73.96
With the nearest neighbours (Å) after each atom.
Atoms (fractional coordinates):
Nd1 0.1203 0.6203 0.7407  1 Nd 2.86, 2 Er 3.03
Nd2 0.3797 0.1203 0.5000  1 Nd 2.86, 2 Er 3.03
Nd3 0.6203 0.8797 0.5000  1 Nd 2.86, 2 Er 3.03
Nd4 0.8797 0.3797 0.2593  1 Nd 2.86, 2 Er 3.03
Er1 0.0000 0.0000 0.0000  4 Nd 3.35
Er2 0.0680 0.1437 0.5000  1 Nd 3.03, 1 Sc 3.03
Er3 0.1437 0.6437 0.0757  1 Nd 3.03, 1 Sc 3.03
Er4 0.3563 0.4320 0.5000  1 Nd 3.03, 1 Sc 3.03
Er5 0.4320 0.9320 0.0757  1 Nd 3.03, 1 Sc 3.03
Er6 0.5000 0.5000 0.0000  4 Nd 3.35
Er7 0.5680 0.0680 0.9243  1 Nd 3.03, 1 Sc 3.03
Er8 0.6437 0.5680 0.5000  1 Nd 3.03, 1 Sc 3.03
Er9 0.8563 0.3563 0.9243  1 Nd 3.03, 1 Sc 3.03
Er10 0.9320 0.8563 0.5000  1 Nd 3.03, 1 Sc 3.03
Tm1 0.2500 0.2500 0.0000  8 Er 3.44
Tm2 0.7500 0.7500 0.0000  8 Er 3.44
Sc1 0.2500 0.7500 0.5000  4 Er 3.03
Sc2 0.7500 0.2500 0.5000  4 Er 3.03


Number 2 is which compound?
Nd2Er5TmSc